{"formula": "KAuCl", "functional": "GGA-PBEsol", "state": "relaxed", "formation_energy_uncorrected_kj_per_mol_atoms": -36.5, "cell": [[-2.0043, -2.5770, -0.6954], [2.1226, -2.0661, 1.5387], [-3.0956, 3.2254, 4.9808]], "species": ["K", "Au", "Cl"], "fractional_positions": [[0.6840, 0.6840, 0.3680], [0.9835, 0.9835, 0.9670], [0.3325, 0.3325, 0.6650]]}

---

{"formula": "SbPbAu", "functional": "GGA-PBEsol", "state": "relaxed", "formation_energy_uncorrected_kj_per_mol_atoms": -6.6, "cell": [[-0.9738, -1.5162, -4.2792], [3.8836, -1.3940, 2.1291], [-4.0717, -6.4422, 3.2092]], "species": ["Pb", "Pb", "Sb", "Sb", "Au", "Au"], "fractional_positions": [[0.0000, 0.0000, 0.9418], [0.0000, 0.0000, 0.4418], [0.6667, 0.3333, 0.6975], [0.3333, 0.6667, 0.1975], [0.3333, 0.6667, 0.6114], [0.6667, 0.3333, 0.1114]]}